## one
Compound: P2PtRh2
Source: Alexandria
Functional: GGA-PBE
Structure: optimized geometry

Geometry as POSCAR:
```
P2PtRh2
1.0
-1.825 1.825 5.620
1.825 -1.825 5.620
1.825 1.825 -5.620
P Pt Rh
2 1 2
Direct
0.250 0.750 0.500
0.750 0.250 0.500
0.000 0.000 0.000
0.379 0.379 0.000
0.621 0.621 0.000
```

* spin magnetization: 0.000 μB/atom
* space group: I4/mmm

## two
Compound: P2PtRh2
Source: Alexandria
Functional: GGA-PBE
Structure: optimized geometry

Geometry as POSCAR:
```
P2PtRh2
1.0
6.810 0.000 0.000
0.000 6.810 0.000
0.000 0.000 2.992
P Pt Rh
4 2 4
Direct
0.151 0.349 0.000
0.349 0.849 0.000
0.651 0.151 0.000
0.849 0.651 0.000
0.000 0.000 0.000
0.500 0.500 0.000
0.142 0.642 0.500
0.358 0.142 0.500
0.642 0.858 0.500
0.858 0.358 0.500
```

* spin magnetization: 0.000 μB/atom
* space group: P4/mbm

Which structure is the least stable? The one labeled one.

## one
Compound: PPtRhS2
Source: Alexandria
Functional: GGA-PBE
Structure: optimized geometry

Geometry as POSCAR:
```
PPtRhS2
1.0
4.669 0.000 0.000
0.000 4.669 0.000
0.000 0.000 4.386
P Pt Rh S
1 1 1 2
Direct
0.000 0.000 0.000
0.500 0.500 0.000
0.000 0.000 0.500
0.000 0.500 0.500
0.500 0.000 0.500
```

* spin magnetization: 0.000 μB/atom
* space group: P4/mmm

## two
Compound: PPtRhS2
Source: Alexandria
Functional: GGA-PBE
Structure: optimized geometry

Geometry as POSCAR:
```
PPtRhS2
1.0
4.765 0.000 0.000
0.000 4.765 0.000
0.000 0.000 4.475
P Pt Rh S
1 1 1 2
Direct
0.000 0.000 0.000
0.000 0.000 0.500
0.500 0.500 0.000
0.000 0.500 0.500
0.500 0.000 0.500
```

* spin magnetization: 0.182 μB/atom
* space group: P4/mmm

Which structure is the least stable? The one labeled two.

## one
Compound: P2RuPt
Source: Alexandria
Functional: GGA-PBE
Structure: optimized geometry

Geometry as POSCAR:
```
P2RuPt
1.0
0.000 3.035 3.035
3.035 0.000 3.035
3.035 3.035 0.000
P Ru Pt
2 1 1
Direct
0.250 0.250 0.250
0.750 0.750 0.750
0.000 0.000 0.000
0.500 0.500 0.500
```

* spin magnetization: 0.147 μB/atom
* space group: Fm-3m

## two
Compound: P2RuPt
Source: Alexandria
Functional: GGA-PBE
Structure: optimized geometry

Geometry as POSCAR:
```
P2RuPt
1.0
3.868 -1.510 0.000
3.868 1.510 0.000
-0.065 0.000 5.300
P Ru Pt
2 1 1
Direct
0.000 0.000 0.000
0.680 0.680 0.469
0.403 0.403 0.301
0.271 0.271 0.795
```

* spin magnetization: 0.000 μB/atom
* space group: Cm

Which structure is the least stable? The one labeled one.

## one
Compound: P2RuPt
Source: Alexandria
Functional: GGA-PBE
Structure: optimized geometry

Geometry as POSCAR:
```
P2RuPt
1.0
2.770 -3.889 0.000
2.770 3.889 0.000
-2.750 0.000 2.843
P Ru Pt
2 1 1
Direct
0.000 0.500 0.000
0.500 0.000 0.000
0.000 0.000 0.500
0.500 0.500 0.500
```

* spin magnetization: 0.000 μB/atom
* space group: C2/m

## two
Compound: P2RuPt
Source: Alexandria
Functional: GGA-PBE
Structure: optimized geometry

Geometry as POSCAR:
```
P2RuPt
1.0
1.553 0.897 7.207
-1.553 0.897 7.207
0.000 -1.793 7.207
P Ru Pt
2 1 1
Direct
0.000 0.000 0.000
0.245 0.245 0.245
0.734 0.734 0.734
0.510 0.510 0.510
```

* spin magnetization: 0.000 μB/atom
* space group: R3m

Which structure is the least stable? The one labeled one.

## one
Compound: P2RuPt
Source: Alexandria
Functional: GGA-PBE
Structure: optimized geometry

Geometry as POSCAR:
```
P2RuPt
1.0
2.953 0.000 0.000
0.000 2.953 0.000
0.000 0.000 7.562
P Ru Pt
2 1 1
Direct
0.000 0.000 0.000
0.500 0.500 0.396
0.500 0.500 0.844
0.000 0.000 0.566
```

* spin magnetization: 0.000 μB/atom
* space group: P4mm

## two
Compound: P2RuPt
Source: Alexandria
Functional: GGA-PBE
Structure: optimized geometry

Geometry as POSCAR:
```
P2RuPt
1.0
4.003 0.000 0.000
0.000 3.790 0.000
-0.254 0.000 4.189
P Ru Pt
2 1 1
Direct
0.167 0.000 0.310
0.833 0.000 0.690
0.000 0.500 0.000
0.500 0.500 0.500
```

* spin magnetization: 0.000 μB/atom
* space group: P2/m

Which structure is the least stable? The one labeled one.

## one
Compound: P2RuPt
Source: Alexandria
Functional: GGA-PBE
Structure: optimized geometry

Geometry as POSCAR:
```
P2RuPt
1.0
3.403 0.000 0.000
0.000 3.403 0.000
0.000 0.000 4.929
P Ru Pt
2 1 1
Direct
0.000 0.000 0.000
0.500 0.500 0.372
0.500 0.500 0.864
0.000 0.000 0.501
```

* spin magnetization: 0.000 μB/atom
* space group: P4mm

## two
Compound: P2RuPt
Source: Alexandria
Functional: GGA-PBE
Structure: optimized geometry

Geometry as POSCAR:
```
P2RuPt
1.0
2.986 0.000 0.000
0.000 2.986 0.000
0.000 0.000 6.247
P Ru Pt
2 1 1
Direct
0.000 0.000 0.236
0.000 0.000 0.764
0.500 0.500 0.000
0.500 0.500 0.500
```

* spin magnetization: 0.000 μB/atom
* space group: P4/mmm

## three
Compound: P2RuPt
Source: Alexandria
Functional: GGA-PBE
Structure: optimized geometry

Geometry as POSCAR:
```
P2RuPt
1.0
2.941 0.000 0.000
0.000 3.940 0.000
0.000 0.000 5.074
P Ru Pt
2 1 1
Direct
0.000 0.000 0.000
0.500 0.000 0.500
0.000 0.500 0.500
0.500 0.500 0.000
```

* spin magnetization: 0.000 μB/atom
* space group: Pmmm

## four
Compound: P2RuPt
Source: Alexandria
Functional: GGA-PBE
Structure: optimized geometry

Geometry as POSCAR:
```
P2RuPt
1.0
1.424 -2.518 0.000
1.424 2.518 0.000
0.000 0.000 8.192
P Ru Pt
2 1 1
Direct
0.000 0.000 0.235
0.000 0.000 0.765
0.500 0.500 0.000
0.500 0.500 0.500
```

* spin magnetization: 0.000 μB/atom
* space group: Cmmm

Which structure is the least stable? The one labeled three.